VASP calculation (PBE with a Hubbard U) on a relaxed structure of Sr9TmV7O28.

Geometry as POSCAR:
```
Sr9TmV7O28
1.0
5.6796 3.2791 13.3755
-5.6796 3.2791 13.3755
0.0000 -6.5582 13.3755
Sr Tm V O
18 2 14 56
Cartesian
-2.3492 -1.5680 13.3755
-3.2836 -1.9516 25.3916
-2.3959 1.3275 18.7038
0.0483 -2.7387 18.7038
-3.2598 -2.0244 29.6928
-2.4198 1.2548 23.0051
0.1233 -2.7230 23.0051
-0.1834 2.8185 13.3755
2.5326 -1.2504 13.3755
-2.5326 -1.2504 33.4387
2.3476 1.4112 18.7038
-0.0483 3.8195 25.3916
3.3319 -1.8679 25.3916
2.2965 1.4682 23.0050
-0.1233 3.8352 29.6928
3.3830 -1.8108 29.6928
2.3492 -1.5680 33.4387
0.1834 2.8185 33.4387
0.0000 0.0000 16.0092
0.0000 0.0000 36.0724
-2.9122 -1.8968 17.2671
-2.7674 1.3823 10.5793
0.1866 -3.0878 10.5793
0.0000 0.0000 5.1540
-3.0461 1.5180 14.7257
-2.6335 -1.7611 21.4134
0.2084 -3.3970 14.7257
2.5808 1.7055 10.5793
-0.1866 3.4704 17.2671
3.0988 -1.5736 17.2671
0.0000 0.0000 25.2173
-0.2084 3.1612 21.4134
2.8377 1.8790 14.7257
2.8419 -1.4001 21.4134
4.0007 3.4209 18.9985
-3.1682 -0.0391 11.5175
-4.2146 2.4307 10.7437
-4.2655 -0.9633 17.8194
0.0022 -4.8654 10.7437
-4.1843 -2.5801 21.1772
-2.6200 0.8366 8.9678
-1.1466 -4.0916 13.9123
-1.2985 -2.3825 11.1317
-2.5114 -3.3182 18.2052
0.0000 0.0000 3.4166
-4.9629 1.7543 18.9985
0.5854 -2.6873 8.9678
-3.3026 1.8393 16.3982
0.0585 -3.7798 16.3982
-2.9702 3.0388 13.9123
-1.3629 -2.8225 20.8942
-1.4649 -0.8484 17.4315
-2.7094 -0.2403 20.6001
-1.4953 0.6990 14.4895
-1.4140 2.3158 11.1317
0.1423 -1.6445 14.4895
1.6180 -2.7242 11.5175
-2.3769 -1.4398 23.0860
0.9622 -5.1752 18.9986
-3.9167 -0.6875 27.5820
2.0345 1.8507 8.9678
-1.7629 2.5916 20.8942
-0.7166 -1.5248 25.6863
-1.6180 3.8340 18.2052
2.7126 0.0667 11.1317
-0.0022 1.6928 17.4314
1.4672 -0.8445 17.4314
1.3530 0.9454 14.4895
-0.5854 -2.6873 29.0310
1.5628 -2.2263 20.6001
2.9670 -3.2124 17.8194
1.5502 2.7633 11.5175
0.0000 0.0000 23.4798
-0.9622 1.3830 25.6863
-2.0345 1.8507 29.0310
-0.0585 2.7784 23.0860
2.4354 -1.3386 23.0860
1.1466 2.4666 20.6001
2.5538 -3.0482 27.5819
4.2124 2.4346 10.7437
4.1167 1.0528 13.9123
-0.1423 4.9137 21.1772
1.2985 4.1757 17.8194
4.3266 -2.3337 21.1772
4.1294 -0.5158 18.2052
3.2442 1.9405 16.3982
1.6789 0.1418 25.6863
3.1258 0.2309 20.8942
2.6200 0.8366 29.0310
1.3629 3.7357 27.5819
```

Computed properties:
VASP energy	-658.85	eV for the cell shown
magnetization	0.55	μB per cell
DOS(E_F)	0.000	states/eV/atom

***

VASP calculation (PBE with a Hubbard U) on a relaxed structure of SrTmV2O8.

Geometry as POSCAR:
```
SrTmV2O8
1.0
-3.6943 3.6943 3.2252
3.6943 -3.6943 3.2252
3.6943 3.6943 -3.2252
Sr Tm V O
1 1 2 8
Cartesian
0.0000 0.0000 0.0000
3.6943 0.0000 1.6126
0.0000 0.0000 3.2252
0.0000 3.6943 1.6126
2.2744 3.6943 -1.0185
1.4198 0.0000 2.2067
0.0000 2.4050 0.4489
3.6943 2.2744 1.0185
0.0000 4.9836 0.4489
0.0000 1.4198 4.2437
-1.2893 3.6943 2.7763
1.2893 3.6943 2.7763
```

Computed properties:
VASP energy	-89.26	eV for the cell shown
magnetization	1.07	μB per cell
DOS(E_F)	0.661	states/eV/atom

***

VASP calculation (PBE with a Hubbard U) on a relaxed structure of SrTmWO6.

Geometry as POSCAR:
```
SrTmWO6
1.0
5.6015 0.0000 0.0000
-2.8007 4.8510 0.0000
0.0000 0.0000 5.2274
Sr Tm W O
1 1 1 6
Cartesian
0.0000 0.0000 0.0000
0.0000 3.2340 2.6137
2.8007 1.6170 2.6137
2.0638 0.1724 3.7052
1.1811 1.7011 1.5222
3.5377 0.1724 1.5222
1.9181 2.9776 3.7052
4.4203 1.7011 3.7052
3.6834 2.9776 1.5222
```

Computed properties:
VASP energy	-66.00	eV for the cell shown
magnetization	1.07	μB per cell
DOS(E_F)	0.702	states/eV/atom

***

VASP calculation (PBE with a Hubbard U) on a relaxed structure of SrTm2WO8.

Geometry as POSCAR:
```
SrTm2WO8
1.0
4.8906 0.0000 0.0000
-0.0838 4.9379 0.0000
-0.0430 -0.0258 7.3848
Sr Tm W O
1 2 1 8
Cartesian
0.0000 0.0000 0.0000
2.3453 2.4249 5.2594
2.4185 2.4872 2.1254
-0.0215 -0.0129 3.6924
0.8454 4.0266 2.2322
0.8799 4.0682 5.1565
1.3092 1.4331 3.6504
1.7315 2.0971 0.0012
3.0323 2.8150 7.3835
3.4546 3.4790 3.7343
3.8839 0.8439 2.2283
3.9184 0.8855 5.1526
```

Computed properties:
VASP energy	-88.92	eV for the cell shown
magnetization	0.00	μB per cell
DOS(E_F)	0.000	states/eV/atom

***

no.,mass density (Mg/m³)
1,3.915
2,4.588
3,6.270
4,6.865